Cs2Na7: relaxed, PBE.

Values from the calculation:
For the total energy, the calculation gives -1.199 eV/atom. Its space group is R-3m (166).

abc: 19.0834 19.0834 19.0834
angles: 22.89 22.89 22.89
Atoms (fractional coordinates):
1 Cs 0.0531 0.0531 0.0531
2 Cs 0.1497 0.1497 0.1497
3 Cs 0.8503 0.8503 0.8503
4 Cs 0.9469 0.9469 0.9469
5 Na 0.0000 0.5000 0.5000
6 Na 0.1100 0.6080 0.6080
7 Na 0.2787 0.2787 0.2787
8 Na 0.3877 0.3877 0.3877
9 Na 0.3920 0.3920 0.8900
10 Na 0.3920 0.8900 0.3920
11 Na 0.5000 0.0000 0.5000
12 Na 0.5000 0.5000 0.0000
13 Na 0.5000 0.5000 0.5000
14 Na 0.6080 0.1100 0.6080
15 Na 0.6080 0.6080 0.1100
16 Na 0.6123 0.6123 0.6123
17 Na 0.7213 0.7213 0.7213
18 Na 0.8900 0.3920 0.3920

=====

Mg2As2Au: relaxed, PBE.

Values from the calculation:
For the distance to the lowest polymorph of the same formula, the calculation gives 0.00 kcal/mol of atoms. Its space group is P4/mbm (127).

abc: 7.1441 7.1441 3.9587
angles: 90.00 90.00 90.00
Atoms (fractional coordinates):
1 Mg 0.1596 0.3404 0.0000
2 Mg 0.3404 0.8404 0.0000
3 Mg 0.6596 0.1596 0.0000
4 Mg 0.8404 0.6596 0.0000
5 As 0.1479 0.6479 0.5000
6 As 0.3521 0.1479 0.5000
7 As 0.6479 0.8521 0.5000
8 As 0.8521 0.3521 0.5000
9 Au 0.0000 0.0000 0.5000
10 Au 0.5000 0.5000 0.5000

=====

AlIn6S8: relaxed, PBE.

Values from the calculation:
For the formation energy without anion corrections, the calculation gives -227 meV/atom. Its space group is R-3 (148).

abc: 7.6209 7.6209 7.6209
angles: 95.96 95.96 95.96
Atoms (fractional coordinates):
1 Al 0.0000 0.0000 0.0000
2 In 0.1699 0.5516 0.3647
3 In 0.3647 0.1699 0.5516
4 In 0.4484 0.6353 0.8301
5 In 0.5516 0.3647 0.1699
6 In 0.6353 0.8301 0.4484
7 In 0.8301 0.4484 0.6353
8 S 0.1576 0.4016 0.6894
9 S 0.2282 0.2282 0.2282
10 S 0.3106 0.8424 0.5984
11 S 0.4016 0.6894 0.1576
12 S 0.5984 0.3106 0.8424
13 S 0.6894 0.1576 0.4016
14 S 0.7718 0.7718 0.7718
15 S 0.8424 0.5984 0.3106